{
  "formula": "K5TlO3",
  "functional": "GGA-PBE",
  "state": "optimized geometry",
  "final_energy_ev_per_atom": -3.5044,
  "magnetic_moment_mub_per_fu": 0.2,
  "e_form_raw_ev_per_fu": -8.8,
  "space_group": "C2/m, No. 12",
  "de_polymorph_kcal_per_mol_atoms": 0.000,
  "lattice": [[-3.400, 4.775, -7.939], [-5.373, -5.430, 6.248], [3.363, 5.961, 3.971]],
  "species": ["K", "K", "K", "K", "K", "K", "K", "K", "K", "K", "O", "O", "O", "O", "O", "O", "Tl", "Tl"],
  "fractional_positions": [[0.677, 0.677, 0.000], [0.003, 0.318, 0.678], [0.098, 0.786, 0.884], [0.902, 0.214, 0.116], [0.546, 0.164, 0.710], [0.454, 0.836, 0.290], [0.640, 0.326, 0.322], [0.997, 0.682, 0.322], [0.360, 0.674, 0.678], [0.323, 0.323, 0.000], [0.000, 0.500, 0.500], [0.637, 0.409, 0.046], [0.304, 0.995, 0.299], [0.000, 0.000, 0.000], [0.696, 0.005, 0.701], [0.363, 0.591, 0.954], [0.798, 0.854, 0.653], [0.202, 0.146, 0.347]]
}

---

{
  "formula": "Cr2TcNi",
  "functional": "GGA-PBE",
  "state": "optimized geometry",
  "final_energy_ev_per_atom": -8.7362,
  "magnetic_moment_mub_per_fu": 0.0,
  "space_group": "P4/mmm, No. 123",
  "delta_e_f_mev_per_atom": 112,
  "lattice": [[-2.509, 0.560, 1.638], [-0.451, -2.996, 0.332], [2.894, 0.054, 4.415]],
  "species": ["Tc", "Cr", "Cr", "Ni"],
  "fractional_positions": [[0.500, 0.500, 0.750], [0.000, 0.000, 0.025], [0.000, 0.000, 0.475], [0.500, 0.500, 0.250]]
}

---

{
  "formula": "Ta2BeRu",
  "functional": "GGA-PBE",
  "state": "optimized geometry",
  "final_energy_ev_per_atom": -9.2522,
  "magnetic_moment_mub_per_fu": 0.0,
  "space_group": "Cmmm, No. 65",
  "delta_e_f_mev_per_atom": -75,
  "lattice": [[-2.971, 3.104, 1.630], [-2.360, -3.914, -0.471], [0.718, -0.773, 2.791]],
  "species": ["Ta", "Ta", "Be", "Ru"],
  "fractional_positions": [[0.000, 0.000, 0.000], [0.500, 0.500, 0.000], [0.500, 0.000, 0.500], [0.000, 0.500, 0.500]]
}

---

{
  "formula": "K4Pa3OsN8",
  "functional": "GGA-PBE",
  "state": "optimized geometry",
  "final_energy_ev_per_atom": -7.6499,
  "magnetic_moment_mub_per_fu": 2.8,
  "e_form_raw_ev_per_fu": -11.7,
  "space_group": "R-3m, No. 166",
  "lattice": [[-3.487, 6.020, 0.102], [-6.531, -3.791, 0.468], [4.817, -1.312, 4.846]],
  "species": ["N", "N", "N", "N", "N", "N", "N", "N", "Pa", "Pa", "Pa", "K", "K", "K", "K", "Os"],
  "fractional_positions": [[0.786, 0.335, 0.049], [0.263, 0.335, 0.049], [0.214, 0.665, 0.428], [0.278, 0.334, 0.556], [0.786, 0.335, 0.572], [0.214, 0.665, 0.951], [0.737, 0.665, 0.951], [0.722, 0.666, 0.444], [0.500, 0.500, 0.500], [0.500, 0.500, 0.000], [0.000, 0.500, 0.500], [0.000, 0.000, 0.500], [0.500, 0.000, 0.500], [0.000, 0.000, 0.000], [0.500, 0.000, 0.000], [0.000, 0.500, 0.000]]
}